## one
Here is a relaxed structure of FeSbI2N from the Alexandria database. Energies are from PBE.

a = 4.8615 Å, b = 4.8615 Å, c = 4.9256 Å
α = 90.00°, β = 90.00°, γ = 90.00°
With the nearest neighbours (Å) after each atom.
Space group P4/mmm (No. 123)
Unique sites:
Fe 0.0000 0.0000 0.0000  4 Sb 3.44, 8 I 3.46
Sb 0.5000 0.5000 0.0000  2 N 2.46
I 0.0000 0.5000 0.5000  2 N 2.43
N 0.5000 0.5000 0.5000  4 I 2.43, 2 Sb 2.46

ρ in Mg/m³: 6.4
Density of states at the Fermi level in states/eV/f.u.: 4.5

=====

## two
Here is a relaxed structure of FeSbI2N from the Alexandria database. Energies are from PBE.

a = 5.5644 Å, b = 5.5644 Å, c = 3.5353 Å
α = 90.00°, β = 90.00°, γ = 90.00°
With the nearest neighbours (Å) after each atom.
Space group P4/mmm (No. 123)
Unique sites:
Fe 0.0000 0.0000 0.0000  2 N 1.77
Sb 0.5000 0.5000 0.5000  8 I 3.30, 2 Sb 3.54
I 0.0000 0.5000 0.0000  2 Fe 2.78
N 0.0000 0.0000 0.5000  2 Fe 1.77

ρ in Mg/m³: 6.8
Density of states at the Fermi level in states/eV/f.u.: 2.9

=====

Short version: two, one, most stable first.

=====

## one
Here is a relaxed structure of ScFeI2N from the Alexandria database. Energies are from PBE.

a = 5.4282 Å, b = 5.4282 Å, c = 3.5221 Å
α = 90.00°, β = 90.00°, γ = 90.00°
With the nearest neighbours (Å) after each atom.
Space group P4/mmm (No. 123)
Unique sites:
Sc 0.0000 0.0000 0.0000  8 I 3.24, 2 Sc 3.52
Fe 0.5000 0.5000 0.5000  2 N 1.76
I 0.0000 0.5000 0.5000  2 Fe 2.71
N 0.5000 0.5000 0.0000  2 Fe 1.76

ρ in Mg/m³: 5.9
Density of states at the Fermi level in states/eV/f.u.: 3.8

=====

## two
Here is a relaxed structure of ScFeI2N from the Alexandria database. Energies are from PBE.

a = 5.8685 Å, b = 5.8685 Å, c = 3.8939 Å
α = 90.00°, β = 90.00°, γ = 90.00°
With the nearest neighbours (Å) after each atom.
Space group P4/mmm (No. 123)
Unique sites:
Sc 0.0000 0.0000 0.0000  2 N 1.95
Fe 0.5000 0.5000 0.5000  8 I 3.52, 2 Fe 3.89
I 0.0000 0.5000 0.0000  2 Sc 2.93
N 0.0000 0.0000 0.5000  2 Sc 1.95

ρ in Mg/m³: 4.6
Density of states at the Fermi level in states/eV/f.u.: 8.4

=====

Short version: one, two, most stable first.

=====

## one
Here is a relaxed structure of FeSeIN2 from the Alexandria database. Energies are from PBE.

a = 3.7522 Å, b = 3.7522 Å, c = 6.1014 Å
α = 90.00°, β = 90.00°, γ = 90.00°
With the nearest neighbours (Å) after each atom.
Space group P4/mmm (No. 123)
Unique sites:
Fe 0.0000 0.0000 0.0000  4 N 1.88
Se 0.5000 0.5000 0.5000  4 I 2.65
I 0.0000 0.0000 0.5000  4 Se 2.65
N 0.0000 0.5000 0.0000  2 Fe 1.88

ρ in Mg/m³: 5.6
Density of states at the Fermi level in states/eV/f.u.: 4.3

=====

## two
Here is a relaxed structure of FeSeIN2 from the Alexandria database. Energies are from PBE.

a = 3.8887 Å, b = 3.8887 Å, c = 6.7166 Å
α = 90.00°, β = 90.00°, γ = 90.00°
With the nearest neighbours (Å) after each atom.
Space group P4/mmm (No. 123)
Unique sites:
Fe 0.0000 0.0000 0.0000  4 Se 2.75
Se 0.5000 0.5000 0.0000  4 Fe 2.75
I 0.5000 0.5000 0.5000  4 N 1.94
N 0.0000 0.5000 0.5000  2 I 1.94

ρ in Mg/m³: 4.7
Density of states at the Fermi level in states/eV/f.u.: 5.8

=====

Short version: one, two, most stable first.

=====

## one
Here is a relaxed structure of FeSeIN2 from the Alexandria database. Energies are from PBE.

a = 3.8045 Å, b = 3.8045 Å, c = 6.5801 Å
α = 90.00°, β = 90.00°, γ = 90.00°
With the nearest neighbours (Å) after each atom.
Space group P4/mmm (No. 123)
Unique sites:
Fe 0.0000 0.0000 0.0000  4 I 2.69
Se 0.5000 0.5000 0.5000  4 N 1.90
I 0.5000 0.5000 0.0000  4 Fe 2.69
N 0.0000 0.5000 0.5000  2 Se 1.90

ρ in Mg/m³: 5.1
Density of states at the Fermi level in states/eV/f.u.: 5.4

=====

## two
Here is a relaxed structure of FeSeIN2 from the Alexandria database. Energies are from PBE.

a = 3.8247 Å, b = 3.8247 Å, c = 5.4227 Å
α = 90.00°, β = 90.00°, γ = 90.00°
With the nearest neighbours (Å) after each atom.
Space group P4/mmm (No. 123)
Unique sites:
Fe 0.0000 0.0000 0.0000  4 N 1.91
Se 0.0000 0.0000 0.5000  4 I 2.70, 2 Fe 2.71
I 0.5000 0.5000 0.5000  4 Se 2.70
N 0.0000 0.5000 0.0000  2 Fe 1.91

ρ in Mg/m³: 6.1
Density of states at the Fermi level in states/eV/f.u.: 3.4

=====

Short version: two, one, most stable first.

=====

## one
Here is a relaxed structure of FeSiIN2 from the Alexandria database. Energies are from PBE.

a = 3.7688 Å, b = 3.7688 Å, c = 5.4737 Å
α = 90.00°, β = 90.00°, γ = 90.00°
With the nearest neighbours (Å) after each atom.
Space group P4/mmm (No. 123)
Unique sites:
Fe 0.0000 0.0000 0.0000  4 N 1.88
Si 0.5000 0.5000 0.5000  4 I 2.66
I 0.0000 0.0000 0.5000  4 Si 2.66, 2 Fe 2.74
N 0.0000 0.5000 0.0000  2 Fe 1.88

ρ in Mg/m³: 5.1
Density of states at the Fermi level in states/eV/f.u.: 4.8

=====

## two
Here is a relaxed structure of FeSiIN2 from the Alexandria database. Energies are from PBE.

a = 3.5594 Å, b = 3.5594 Å, c = 6.8168 Å
α = 90.00°, β = 90.00°, γ = 90.00°
With the nearest neighbours (Å) after each atom.
Space group P4/mmm (No. 123)
Unique sites:
Fe 0.0000 0.0000 0.0000  4 I 2.52
Si 0.5000 0.5000 0.5000  4 N 1.78
I 0.5000 0.5000 0.0000  4 Fe 2.52
N 0.0000 0.5000 0.5000  2 Si 1.78

ρ in Mg/m³: 4.6
Density of states at the Fermi level in states/eV/f.u.: 6.1

=====

Short version: two, one, most stable first.

=====

## one
Here is a relaxed structure of FeSnIN2 from the Alexandria database. Energies are from PBE.

a = 4.0545 Å, b = 4.0545 Å, c = 6.6264 Å
α = 90.00°, β = 90.00°, γ = 90.00°
With the nearest neighbours (Å) after each atom.
Space group P4/mmm (No. 123)
Unique sites:
Fe 0.0000 0.0000 0.0000  4 I 2.87
Sn 0.5000 0.5000 0.5000  4 N 2.03
I 0.5000 0.5000 0.0000  4 Fe 2.87
N 0.0000 0.5000 0.5000  2 Sn 2.03

ρ in Mg/m³: 5.0
Density of states at the Fermi level in states/eV/f.u.: 7.1

=====

## two
Here is a relaxed structure of FeSnIN2 from the Alexandria database. Energies are from PBE.

a = 3.9836 Å, b = 3.9836 Å, c = 5.2790 Å
α = 90.00°, β = 90.00°, γ = 90.00°
With the nearest neighbours (Å) after each atom.
Space group P4/mmm (No. 123)
Unique sites:
Fe 0.0000 0.0000 0.0000  4 N 1.99
Sn 0.5000 0.5000 0.5000  4 I 2.82
I 0.0000 0.0000 0.5000  2 Fe 2.64, 4 Sn 2.82
N 0.0000 0.5000 0.0000  2 Fe 1.99

ρ in Mg/m³: 6.5
Density of states at the Fermi level in states/eV/f.u.: 4.2

=====

Short version: two, one, most stable first.

=====

## one
Here is a relaxed structure of FeSnI2N from the Alexandria database. Energies are from PBE.

a = 5.9334 Å, b = 5.9334 Å, c = 3.8272 Å
α = 90.00°, β = 90.00°, γ = 90.00°
With the nearest neighbours (Å) after each atom.
Space group P4/mmm (No. 123)
Unique sites:
Fe 0.0000 0.0000 0.0000  8 I 3.53, 2 Fe 3.83
Sn 0.5000 0.5000 0.5000  2 N 1.91
I 0.0000 0.5000 0.5000  2 Sn 2.97
N 0.5000 0.5000 0.0000  2 Sn 1.91

ρ in Mg/m³: 5.5
Density of states at the Fermi level in states/eV/f.u.: 5.7

=====

## two
Here is a relaxed structure of FeSnI2N from the Alexandria database. Energies are from PBE.

a = 5.4167 Å, b = 5.4167 Å, c = 3.5241 Å
α = 90.00°, β = 90.00°, γ = 90.00°
With the nearest neighbours (Å) after each atom.
Space group P4/mmm (No. 123)
Unique sites:
Fe 0.0000 0.0000 0.0000  2 N 1.76
Sn 0.5000 0.5000 0.5000  8 I 3.23, 2 Sn 3.52
I 0.0000 0.5000 0.0000  2 Fe 2.71
N 0.0000 0.0000 0.5000  2 Fe 1.76

ρ in Mg/m³: 7.1
Density of states at the Fermi level in states/eV/f.u.: 1.8

=====

Short version: two, one, most stable first.

=====

## one
Here is a relaxed structure of FeTeI2N from the Alexandria database. Energies are from PBE.

a = 4.8653 Å, b = 4.8653 Å, c = 5.0138 Å
α = 90.00°, β = 90.00°, γ = 90.00°
With the nearest neighbours (Å) after each atom.
Space group P4/mmm (No. 123)
Unique sites:
Fe 0.0000 0.0000 0.0000  4 Te 3.44, 8 I 3.49
Te 0.5000 0.5000 0.0000  2 N 2.51
I 0.0000 0.5000 0.5000  2 N 2.43
N 0.5000 0.5000 0.5000  4 I 2.43, 2 Te 2.51

ρ in Mg/m³: 6.3
Density of states at the Fermi level in states/eV/f.u.: 5.5

=====

## two
Here is a relaxed structure of FeTeI2N from the Alexandria database. Energies are from PBE.

a = 5.2384 Å, b = 5.2384 Å, c = 4.7790 Å
α = 90.00°, β = 90.00°, γ = 90.00°
With the nearest neighbours (Å) after each atom.
Space group P4/mmm (No. 123)
Unique sites:
Fe 0.0000 0.0000 0.0000  2 Te 2.39, 4 I 2.62
Te 0.0000 0.0000 0.5000  2 Fe 2.39
I 0.0000 0.5000 0.0000  2 Fe 2.62
N 0.5000 0.5000 0.5000  8 I 3.55, 4 Te 3.70

ρ in Mg/m³: 5.7
Density of states at the Fermi level in states/eV/f.u.: 9.3

=====

## three
Here is a relaxed structure of FeTeI2N from the Alexandria database. Energies are from PBE.

a = 6.1964 Å, b = 6.1964 Å, c = 3.9753 Å
α = 90.00°, β = 90.00°, γ = 90.00°
With the nearest neighbours (Å) after each atom.
Space group P4/mmm (No. 123)
Unique sites:
Fe 0.0000 0.0000 0.0000  8 I 3.68, 2 Fe 3.98
Te 0.5000 0.5000 0.5000  2 N 1.99
I 0.0000 0.5000 0.5000  2 Te 3.10
N 0.5000 0.5000 0.0000  2 Te 1.99

ρ in Mg/m³: 4.9
Density of states at the Fermi level in states/eV/f.u.: 5.7

=====

## four
Here is a relaxed structure of FeTeI2N from the Alexandria database. Energies are from PBE.

a = 5.5967 Å, b = 5.5967 Å, c = 3.5358 Å
α = 90.00°, β = 90.00°, γ = 90.00°
With the nearest neighbours (Å) after each atom.
Space group P4/mmm (No. 123)
Unique sites:
Fe 0.0000 0.0000 0.0000  2 N 1.77
Te 0.5000 0.5000 0.5000  8 I 3.31, 2 Te 3.54
I 0.0000 0.5000 0.0000  2 Fe 2.80
N 0.0000 0.0000 0.5000  2 Fe 1.77

ρ in Mg/m³: 6.8
Density of states at the Fermi level in states/eV/f.u.: 2.5

=====

Short version: four, three, one, two, most stable first.

=====

## one
Here is a relaxed structure of TlFeI2N from the Alexandria database. Energies are from PBE.

a = 6.2150 Å, b = 6.2150 Å, c = 4.0301 Å
α = 90.00°, β = 90.00°, γ = 90.00°
With the nearest neighbours (Å) after each atom.
Space group P4/mmm (No. 123)
Unique sites:
Tl 0.0000 0.0000 0.0000  2 N 2.02
Fe 0.5000 0.5000 0.5000  8 I 3.70, 2 Fe 4.03
I 0.0000 0.5000 0.0000  2 Tl 3.11
N 0.0000 0.0000 0.5000  2 Tl 2.02

ρ in Mg/m³: 5.6
Density of states at the Fermi level in states/eV/f.u.: 12.3

=====

## two
Here is a relaxed structure of TlFeI2N from the Alexandria database. Energies are from PBE.

a = 5.8224 Å, b = 5.8224 Å, c = 3.5785 Å
α = 90.00°, β = 90.00°, γ = 90.00°
With the nearest neighbours (Å) after each atom.
Space group P4/mmm (No. 123)
Unique sites:
Tl 0.0000 0.0000 0.0000  8 I 3.42, 2 Tl 3.58
Fe 0.5000 0.5000 0.5000  2 N 1.79
I 0.0000 0.5000 0.5000  2 Fe 2.91
N 0.5000 0.5000 0.0000  2 Fe 1.79

ρ in Mg/m³: 7.2
Density of states at the Fermi level in states/eV/f.u.: 5.6

=====

Short version: two, one, most stable first.

=====

## one
Here is a relaxed structure of VFeIN2 from the Alexandria database. Energies are from PBE.

a = 3.7936 Å, b = 3.7936 Å, c = 5.7023 Å
α = 90.00°, β = 90.00°, γ = 90.00°
With the nearest neighbours (Å) after each atom.
Space group P4/mmm (No. 123)
Unique sites:
V 0.0000 0.0000 0.0000  4 N 1.90
Fe 0.5000 0.5000 0.5000  4 I 2.68
I 0.0000 0.0000 0.5000  4 Fe 2.68, 2 V 2.85
N 0.0000 0.5000 0.0000  2 V 1.90

ρ in Mg/m³: 5.3
Density of states at the Fermi level in states/eV/f.u.: 7.0

=====

## two
Here is a relaxed structure of VFeIN2 from the Alexandria database. Energies are from PBE.

a = 3.7109 Å, b = 3.7109 Å, c = 5.4626 Å
α = 90.00°, β = 90.00°, γ = 90.00°
With the nearest neighbours (Å) after each atom.
Space group P4/mmm (No. 123)
Unique sites:
V 0.0000 0.0000 0.0000  4 I 2.62
Fe 0.5000 0.5000 0.5000  4 N 1.86
I 0.5000 0.5000 0.0000  4 V 2.62, 2 Fe 2.73
N 0.0000 0.5000 0.5000  2 Fe 1.86

ρ in Mg/m³: 5.8
Density of states at the Fermi level in states/eV/f.u.: 7.1

=====

Short version: one, two, most stable first.

=====

## one
Here is a relaxed structure of FeWI2N from the Alexandria database. Energies are from PBE.

a = 5.6075 Å, b = 5.6075 Å, c = 3.8304 Å
α = 90.00°, β = 90.00°, γ = 90.00°
With the nearest neighbours (Å) after each atom.
Space group P4/mmm (No. 123)
Unique sites:
Fe 0.0000 0.0000 0.0000  8 I 3.40
W 0.5000 0.5000 0.5000  2 N 1.92
I 0.0000 0.5000 0.5000  2 W 2.80
N 0.5000 0.5000 0.0000  2 W 1.92

ρ in Mg/m³: 7.0
Density of states at the Fermi level in states/eV/f.u.: 7.8

=====

## two
Here is a relaxed structure of FeWI2N from the Alexandria database. Energies are from PBE.

a = 5.2867 Å, b = 5.2867 Å, c = 3.4220 Å
α = 90.00°, β = 90.00°, γ = 90.00°
With the nearest neighbours (Å) after each atom.
Space group P4/mmm (No. 123)
Unique sites:
Fe 0.0000 0.0000 0.0000  2 N 1.71
W 0.5000 0.5000 0.5000  8 I 3.15, 2 W 3.42
I 0.0000 0.5000 0.0000  2 Fe 2.64
N 0.0000 0.0000 0.5000  2 Fe 1.71

ρ in Mg/m³: 8.8
Density of states at the Fermi level in states/eV/f.u.: 2.7

=====

Short version: one, two, most stable first.

=====

## one
Here is a relaxed structure of FeWIN2 from the Alexandria database. Energies are from PBE.

a = 3.8162 Å, b = 3.8162 Å, c = 5.2112 Å
α = 90.00°, β = 90.00°, γ = 90.00°
With the nearest neighbours (Å) after each atom.
Space group P4/mmm (No. 123)
Unique sites:
Fe 0.0000 0.0000 0.0000  4 N 1.91
W 0.5000 0.5000 0.5000  4 I 2.70
I 0.0000 0.0000 0.5000  2 Fe 2.61, 4 W 2.70
N 0.0000 0.5000 0.0000  2 Fe 1.91

ρ in Mg/m³: 8.6
Density of states at the Fermi level in states/eV/f.u.: 4.8

=====

## two
Here is a relaxed structure of FeWIN2 from the Alexandria database. Energies are from PBE.

a = 3.8674 Å, b = 3.8674 Å, c = 5.7503 Å
α = 90.00°, β = 90.00°, γ = 90.00°
With the nearest neighbours (Å) after each atom.
Space group P4/mmm (No. 123)
Unique sites:
Fe 0.0000 0.0000 0.0000  4 I 2.73
W 0.5000 0.5000 0.5000  4 N 1.93
I 0.5000 0.5000 0.0000  4 Fe 2.73, 2 W 2.88
N 0.0000 0.5000 0.5000  2 W 1.93

ρ in Mg/m³: 7.6
Density of states at the Fermi level in states/eV/f.u.: 7.7

=====

Short version: two, one, most stable first.